--- w ---
First-principles (GGA-PBE) data for a relaxed structure of ZnTcF6, as listed in OQMD.

```
ZnTcF6
1.0
2.409 1.391 4.547
-2.409 1.391 4.547
0.000 -2.782 4.547
Zn Tc F
1 1 6
direct
0.000 0.000 0.000 Zn
0.500 0.500 0.500 Tc
0.083 0.744 0.426 F
0.256 0.574 0.917 F
0.426 0.083 0.744 F
0.574 0.917 0.256 F
0.744 0.426 0.083 F
0.917 0.256 0.574 F
```

Calculated values
- size of the total moment (μB per cell) = 3.00
- V (Å³/f.u.) = 91
- crystal system = trigonal

--- x ---
First-principles (GGA-PBE) data for a relaxed structure of ZnTcF6, as listed in OQMD.

```
ZnTcF6
1.0
4.781 0.000 0.000
2.366 4.175 0.000
2.368 1.356 4.517
Zn Tc F
1 1 6
direct
0.000 0.000 0.000 Zn
0.500 0.500 0.500 Tc
0.079 0.742 0.747 F
0.257 0.572 0.250 F
0.429 0.082 0.746 F
0.571 0.918 0.254 F
0.743 0.428 0.750 F
0.921 0.258 0.253 F
```

Calculated values
- size of the total moment (μB per cell) = 3.00
- V (Å³/f.u.) = 90
- crystal system = triclinic

Most stable of them? w.

--- w ---
First-principles (GGA-PBE) data for a relaxed structure of ThF, as listed in OQMD.

```
ThF
1.0
3.272 0.000 0.000
-1.636 2.834 0.000
0.000 0.000 4.140
Th F
1 1
direct
0.000 0.000 0.000 Th
0.333 0.667 0.500 F
```

Calculated values
- size of the total moment (μB per cell) = 0.56
- V (Å³/f.u.) = 38
- crystal system = hexagonal

--- x ---
First-principles (GGA-PBE) data for a relaxed structure of ThF, as listed in OQMD.

```
ThF
1.0
5.651 0.000 0.000
0.000 5.651 0.000
0.000 0.000 5.651
Th F
4 4
direct
0.000 0.000 0.000 Th
0.000 0.500 0.500 Th
0.500 0.000 0.500 Th
0.500 0.500 0.000 Th
0.250 0.250 0.250 F
0.250 0.750 0.750 F
0.750 0.250 0.750 F
0.750 0.750 0.250 F
```

Calculated values
- size of the total moment (μB per cell) = 0.01
- V (Å³/f.u.) = 45
- crystal system = cubic

Most stable of them? x.

--- w ---
First-principles (GGA-PBE) data for a relaxed structure of GaFeGe, as listed in OQMD.

```
GaFeGe
1.0
5.852 0.000 0.000
0.000 5.852 0.000
0.000 0.000 5.852
Ga Fe Ge
4 4 4
direct
0.000 0.000 0.000 Ga
0.000 0.500 0.500 Ga
0.500 0.000 0.500 Ga
0.500 0.500 0.000 Ga
0.000 0.000 0.500 Fe
0.000 0.500 0.000 Fe
0.500 0.000 0.000 Fe
0.500 0.500 0.500 Fe
0.250 0.250 0.750 Ge
0.250 0.750 0.250 Ge
0.750 0.250 0.250 Ge
0.750 0.750 0.750 Ge
```

Calculated values
- size of the total moment (μB per cell) = 8.84
- V (Å³/f.u.) = 50
- crystal system = cubic

--- x ---
First-principles (GGA-PBE) data for a relaxed structure of GaFeGe, as listed in OQMD.

```
GaFeGe
1.0
5.687 0.000 0.000
0.000 5.687 0.000
0.000 0.000 5.687
Ga Fe Ge
4 4 4
direct
0.000 0.000 0.000 Ga
0.000 0.500 0.500 Ga
0.500 0.000 0.500 Ga
0.500 0.500 0.000 Ga
0.250 0.250 0.250 Fe
0.250 0.750 0.750 Fe
0.750 0.250 0.750 Fe
0.750 0.750 0.250 Fe
0.000 0.000 0.500 Ge
0.000 0.500 0.000 Ge
0.500 0.000 0.000 Ge
0.500 0.500 0.500 Ge
```

Calculated values
- size of the total moment (μB per cell) = 4.08
- V (Å³/f.u.) = 46
- crystal system = cubic

Most stable of them? x.

--- w ---
First-principles (GGA-PBE) data for a relaxed structure of HfGaFePd, as listed in OQMD.

```
HfGaFePd
1.0
6.246 0.000 0.000
0.000 6.246 0.000
0.000 0.000 6.246
Hf Ga Fe Pd
4 4 4 4
direct
0.000 0.000 0.000 Hf
0.000 0.500 0.500 Hf
0.500 0.000 0.500 Hf
0.500 0.500 0.000 Hf
0.000 0.000 0.500 Ga
0.000 0.500 0.000 Ga
0.500 0.000 0.000 Ga
0.500 0.500 0.500 Ga
0.250 0.250 0.750 Fe
0.250 0.750 0.250 Fe
0.750 0.250 0.250 Fe
0.750 0.750 0.750 Fe
0.250 0.250 0.250 Pd
0.250 0.750 0.750 Pd
0.750 0.250 0.750 Pd
0.750 0.750 0.250 Pd
```

Calculated values
- size of the total moment (μB per cell) = 3.83
- V (Å³/f.u.) = 61
- crystal system = cubic

--- x ---
First-principles (GGA-PBE) data for a relaxed structure of HfGaFePd, as listed in OQMD.

```
HfGaFePd
1.0
6.364 0.000 0.000
0.000 6.364 0.000
0.000 0.000 6.364
Hf Ga Fe Pd
4 4 4 4
direct
0.000 0.000 0.000 Hf
0.000 0.500 0.500 Hf
0.500 0.000 0.500 Hf
0.500 0.500 0.000 Hf
0.250 0.250 0.250 Ga
0.250 0.750 0.750 Ga
0.750 0.250 0.750 Ga
0.750 0.750 0.250 Ga
0.000 0.000 0.500 Fe
0.000 0.500 0.000 Fe
0.500 0.000 0.000 Fe
0.500 0.500 0.500 Fe
0.250 0.250 0.750 Pd
0.250 0.750 0.250 Pd
0.750 0.250 0.250 Pd
0.750 0.750 0.750 Pd
```

Calculated values
- size of the total moment (μB per cell) = 10.19
- V (Å³/f.u.) = 64
- crystal system = cubic

Most stable of them? w.

--- w ---
First-principles (GGA-PBE) data for a relaxed structure of GaFeNiHg, as listed in OQMD.

```
GaFeNiHg
1.0
6.155 0.000 0.000
0.000 6.155 0.000
0.000 0.000 6.155
Ga Fe Ni Hg
4 4 4 4
direct
0.000 0.000 0.000 Ga
0.000 0.500 0.500 Ga
0.500 0.000 0.500 Ga
0.500 0.500 0.000 Ga
0.250 0.250 0.250 Fe
0.250 0.750 0.750 Fe
0.750 0.250 0.750 Fe
0.750 0.750 0.250 Fe
0.250 0.250 0.750 Ni
0.250 0.750 0.250 Ni
0.750 0.250 0.250 Ni
0.750 0.750 0.750 Ni
0.000 0.000 0.500 Hg
0.000 0.500 0.000 Hg
0.500 0.000 0.000 Hg
0.500 0.500 0.500 Hg
```

Calculated values
- size of the total moment (μB per cell) = 9.65
- V (Å³/f.u.) = 58
- crystal system = cubic

--- x ---
First-principles (GGA-PBE) data for a relaxed structure of GaFeNiHg, as listed in OQMD.

```
GaFeNiHg
1.0
6.193 0.000 0.000
0.000 6.193 0.000
0.000 0.000 6.193
Ga Fe Ni Hg
4 4 4 4
direct
0.000 0.000 0.000 Ga
0.000 0.500 0.500 Ga
0.500 0.000 0.500 Ga
0.500 0.500 0.000 Ga
0.250 0.250 0.250 Fe
0.250 0.750 0.750 Fe
0.750 0.250 0.750 Fe
0.750 0.750 0.250 Fe
0.000 0.000 0.500 Ni
0.000 0.500 0.000 Ni
0.500 0.000 0.000 Ni
0.500 0.500 0.500 Ni
0.250 0.250 0.750 Hg
0.250 0.750 0.250 Hg
0.750 0.250 0.250 Hg
0.750 0.750 0.750 Hg
```

Calculated values
- size of the total moment (μB per cell) = 12.07
- V (Å³/f.u.) = 59
- crystal system = cubic

Most stable of them? w.

--- w ---
First-principles (GGA-PBE) data for a relaxed structure of GaFeReHg, as listed in OQMD.

```
GaFeReHg
1.0
6.294 0.000 0.000
0.000 6.294 0.000
0.000 0.000 6.294
Ga Fe Re Hg
4 4 4 4
direct
0.000 0.000 0.000 Ga
0.000 0.500 0.500 Ga
0.500 0.000 0.500 Ga
0.500 0.500 0.000 Ga
0.250 0.250 0.250 Fe
0.250 0.750 0.750 Fe
0.750 0.250 0.750 Fe
0.750 0.750 0.250 Fe
0.250 0.250 0.750 Re
0.250 0.750 0.250 Re
0.750 0.250 0.250 Re
0.750 0.750 0.750 Re
0.000 0.000 0.500 Hg
0.000 0.500 0.000 Hg
0.500 0.000 0.000 Hg
0.500 0.500 0.500 Hg
```

Calculated values
- size of the total moment (μB per cell) = 11.27
- V (Å³/f.u.) = 62
- crystal system = cubic

--- x ---
First-principles (GGA-PBE) data for a relaxed structure of GaFeReHg, as listed in OQMD.

```
GaFeReHg
1.0
6.313 0.000 0.000
0.000 6.313 0.000
0.000 0.000 6.313
Ga Fe Re Hg
4 4 4 4
direct
0.000 0.000 0.000 Ga
0.000 0.500 0.500 Ga
0.500 0.000 0.500 Ga
0.500 0.500 0.000 Ga
0.250 0.250 0.250 Fe
0.250 0.750 0.750 Fe
0.750 0.250 0.750 Fe
0.750 0.750 0.250 Fe
0.000 0.000 0.500 Re
0.000 0.500 0.000 Re
0.500 0.000 0.000 Re
0.500 0.500 0.500 Re
0.250 0.250 0.750 Hg
0.250 0.750 0.250 Hg
0.750 0.250 0.250 Hg
0.750 0.750 0.750 Hg
```

Calculated values
- size of the total moment (μB per cell) = 9.47
- V (Å³/f.u.) = 63
- crystal system = cubic

Most stable of them? w.